Crystalline Al4TcCl at its relaxed geometry, computed with PBE.

It has space group F-43m (No. 216), with a = 7.411 Å, b = 7.411 Å, c = 7.411 Å, α = 90.00°, β = 90.00° and γ = 90.00°. Symmetry generates all atoms from Al at (0.124, 0.124, 0.376), Tc at (0.250, 0.250, 0.750) and Cl at (0.000, 0.000, 0.000).

The calculation puts the raw formation energy at 1.86 eV/f.u.